# TbCePmY2, relaxed, DFT PBE-GGA
data_TbCePmY2
_space_group_name_H-M_alt 'P 1'
_space_group_IT_number 1
_cell_length_a 7.4481
_cell_length_b 7.6219
_cell_length_c 5.8569
_cell_angle_alpha 90.00
_cell_angle_beta 90.00
_cell_angle_gamma 90.00
loop_
_space_group_symop_operation_xyz
'x,y,z'
loop_
_atom_site_label
_atom_site_fract_x
_atom_site_fract_y
_atom_site_fract_z
Tb1 0.3765 0.0000 0.7500
Ce1 0.0000 0.0000 0.5000
Y1 0.3278 0.7128 0.2500
Y2 0.6722 0.7128 0.7500
Ce2 0.0000 0.0000 0.0000
Pm1 0.1566 0.5000 0.7500
Pm2 0.8434 0.5000 0.2500
Y3 0.3278 0.2872 0.2500
Tb2 0.6235 0.0000 0.2500
Y4 0.6722 0.2872 0.7500
# E = -53.58 eV per cell
# SG = No. 51
# D(E_F) = 2.08 states/eV per atom

# UZnPd, relaxed, DFT PBE-GGA
data_UZnPd
_space_group_name_H-M_alt 'P 1'
_space_group_IT_number 1
_cell_length_a 2.9026
_cell_length_b 2.9026
_cell_length_c 6.6137
_cell_angle_alpha 102.68
_cell_angle_beta 102.68
_cell_angle_gamma 90.00
loop_
_space_group_symop_operation_xyz
'x,y,z'
loop_
_atom_site_label
_atom_site_fract_x
_atom_site_fract_y
_atom_site_fract_z
Pd1 0.6822 0.6822 0.3643
Zn1 0.3159 0.3159 0.6318
U1 0.0019 0.0019 0.0038
# E = -18.26 eV per cell
# SG = No. 107
# D(E_F) = 1.67 states/eV per atom

# BeB3C, relaxed, DFT PBE-GGA
data_BeB3C
_space_group_name_H-M_alt 'P 1'
_space_group_IT_number 1
_cell_length_a 3.4919
_cell_length_b 3.4919
_cell_length_c 3.4919
_cell_angle_alpha 90.00
_cell_angle_beta 90.00
_cell_angle_gamma 90.00
loop_
_space_group_symop_operation_xyz
'x,y,z'
loop_
_atom_site_label
_atom_site_fract_x
_atom_site_fract_y
_atom_site_fract_z
C1 0.5000 0.5000 0.5000
B1 0.0000 0.5000 0.0000
Be1 0.0000 0.0000 0.0000
B2 0.5000 0.0000 0.0000
B3 0.0000 0.0000 0.5000
# E = -20.22 eV per cell
# SG = No. 221
# D(E_F) = 0.49 states/eV per atom

Energy relative to the elements, respectively: 1.45 -0.51 12.76 eV per formula unit.